#A
The following is a DFT calculation (PBE-GGA) of a relaxed PmGa6Pd6 crystal.

Unit cell a=6.903 b=6.903 c=6.903 alpha=135.45 beta=101.54 gamma=95.01
Atoms (fractional coordinates):
Pm 0.000 0.000 0.000
Ga 0.000 0.000 0.500
Ga 0.000 0.500 0.000
Ga 0.241 0.500 0.741
Ga 0.500 0.000 0.000
Ga 0.500 0.500 0.500
Ga 0.759 0.500 0.259
Pd 0.185 0.685 0.500
Pd 0.341 0.000 0.341
Pd 0.345 0.345 0.000
Pd 0.655 0.655 0.000
Pd 0.659 0.000 0.659
Pd 0.815 0.315 0.500

Properties
Total moment   0.00 μB per cell

=====

#B
The following is a DFT calculation (PBE-GGA) of a relaxed PmGa6Pd6 crystal.

Unit cell a=6.920 b=6.920 c=6.920 alpha=133.06 beta=105.12 gamma=93.23
Atoms (fractional coordinates):
Pm 0.000 0.000 0.000
Ga 0.179 0.679 0.500
Ga 0.343 0.343 0.000
Ga 0.352 0.000 0.352
Ga 0.648 0.000 0.648
Ga 0.657 0.657 0.000
Ga 0.821 0.321 0.500
Pd 0.000 0.000 0.500
Pd 0.000 0.500 0.000
Pd 0.241 0.500 0.741
Pd 0.500 0.000 0.000
Pd 0.500 0.500 0.500
Pd 0.759 0.500 0.259

Properties
Total moment   0.00 μB per cell

=====

Order of stability, best first: #B, #A

=====

#A
The following is a DFT calculation (PBE-GGA) of a relaxed Pm8GaPd2 crystal.

Unit cell a=8.088 b=8.088 c=5.762 alpha=98.57 beta=98.57 gamma=115.06
Atoms (fractional coordinates):
Pm 0.000 0.000 0.000
Pm 0.051 0.299 0.601
Pm 0.156 0.617 0.191
Pm 0.299 0.051 0.601
Pm 0.467 0.717 0.800
Pm 0.617 0.156 0.191
Pm 0.717 0.467 0.800
Pm 0.751 0.751 0.372
Ga 0.379 0.379 0.092
Pd 0.077 0.686 0.687
Pd 0.686 0.077 0.687

Properties
Total moment   0.00 μB per cell

=====

#B
The following is a DFT calculation (PBE-GGA) of a relaxed Pm8GaPd2 crystal.

Unit cell a=9.611 b=9.611 c=6.947 alpha=108.90 beta=108.90 gamma=31.68
Atoms (fractional coordinates):
Pm 0.029 0.029 0.286
Pm 0.199 0.199 0.837
Pm 0.326 0.326 0.498
Pm 0.406 0.406 0.031
Pm 0.594 0.594 0.969
Pm 0.674 0.674 0.502
Pm 0.801 0.801 0.163
Pm 0.971 0.971 0.714
Ga 0.500 0.500 0.500
Pd 0.171 0.171 0.225
Pd 0.829 0.829 0.775

Properties
Total moment   0.00 μB per cell

=====

Order of stability, best first: #B, #A

=====

#A
The following is a DFT calculation (PBE-GGA) of a relaxed PmGaPd3 crystal.

Unit cell a=6.506 b=6.506 c=6.506 alpha=129.70 beta=105.51 gamma=95.39
Atoms (fractional coordinates):
Pm 0.251 0.001 0.250
Pm 0.749 0.999 0.750
Ga 0.000 0.500 0.500
Ga 0.500 0.500 0.000
Pd 0.078 0.328 0.750
Pd 0.301 0.000 0.801
Pd 0.301 0.500 0.301
Pd 0.699 0.000 0.199
Pd 0.699 0.500 0.699
Pd 0.922 0.672 0.250

Properties
Total moment   0.00 μB per cell

=====

#B
The following is a DFT calculation (PBE-GGA) of a relaxed PmGaPd3 crystal.

Unit cell a=6.254 b=6.254 c=11.721 alpha=90.00 beta=90.00 gamma=120.00
Atoms (fractional coordinates):
Pm 0.000 0.000 0.000
Pm 0.000 0.000 0.500
Pm 0.333 0.667 0.250
Pm 0.667 0.333 0.750
Ga 0.333 0.667 0.640
Ga 0.333 0.667 0.860
Ga 0.667 0.333 0.140
Ga 0.667 0.333 0.360
Pd 0.000 0.500 0.000
Pd 0.000 0.500 0.500
Pd 0.140 0.280 0.750
Pd 0.140 0.860 0.750
Pd 0.280 0.140 0.250
Pd 0.500 0.000 0.000
Pd 0.500 0.000 0.500
Pd 0.500 0.500 0.000
Pd 0.500 0.500 0.500
Pd 0.720 0.860 0.750
Pd 0.860 0.140 0.250
Pd 0.860 0.720 0.250

Properties
Total moment   0.00 μB per cell

=====

Order of stability, best first: #A, #B

=====

#A
The following is a DFT calculation (PBE-GGA) of a relaxed Pm2GaPd2 crystal.

Unit cell a=5.650 b=5.650 c=5.650 alpha=133.52 beta=119.19 gamma=79.84
Atoms (fractional coordinates):
Pm 0.201 0.201 0.000
Pm 0.799 0.799 0.000
Ga 0.500 0.000 0.500
Pd 0.240 0.500 0.740
Pd 0.760 0.500 0.260

Properties
Total moment   0.00 μB per cell

=====

#B
The following is a DFT calculation (PBE-GGA) of a relaxed Pm2GaPd2 crystal.

Unit cell a=7.351 b=7.351 c=7.351 alpha=121.82 beta=78.48 gamma=132.26
Atoms (fractional coordinates):
Pm 0.145 0.171 0.317
Pm 0.355 0.671 0.026
Pm 0.645 0.329 0.974
Pm 0.855 0.829 0.683
Ga 0.250 0.750 0.500
Ga 0.750 0.250 0.500
Pd 0.109 0.749 0.858
Pd 0.391 0.249 0.641
Pd 0.609 0.751 0.359
Pd 0.891 0.251 0.142

Properties
Total moment   0.00 μB per cell

=====

Order of stability, best first: #A, #B

=====

#A
The following is a DFT calculation (PBE-GGA) of a relaxed Pm3Ga8Pd3 crystal.

Unit cell a=8.251 b=8.251 c=9.187 alpha=122.98 beta=122.98 gamma=31.39
Atoms (fractional coordinates):
Pm 0.000 0.000 0.000
Pm 0.292 0.292 0.299
Pm 0.708 0.708 0.701
Ga 0.140 0.140 0.427
Ga 0.150 0.150 0.866
Ga 0.347 0.347 0.716
Ga 0.496 0.496 0.322
Ga 0.504 0.504 0.678
Ga 0.653 0.653 0.284
Ga 0.850 0.850 0.134
Ga 0.860 0.860 0.573
Pd 0.000 0.000 0.500
Pd 0.349 0.349 0.995
Pd 0.651 0.651 0.005

Properties
Total moment   0.00 μB per cell

=====

#B
The following is a DFT calculation (PBE-GGA) of a relaxed Pm3Ga8Pd3 crystal.

Unit cell a=8.278 b=8.278 c=8.278 alpha=149.82 beta=107.17 gamma=80.82
Atoms (fractional coordinates):
Pm 0.000 0.000 0.000
Pm 0.315 0.315 0.000
Pm 0.685 0.685 0.000
Ga 0.034 0.665 0.369
Ga 0.152 0.871 0.281
Ga 0.297 0.665 0.631
Ga 0.410 0.129 0.281
Ga 0.590 0.871 0.719
Ga 0.703 0.335 0.369
Ga 0.848 0.129 0.719
Ga 0.966 0.335 0.631
Pd 0.285 0.500 0.785
Pd 0.500 0.000 0.500
Pd 0.715 0.500 0.215

Properties
Total moment   0.00 μB per cell

=====

Order of stability, best first: #B, #A

=====

#A
The following is a DFT calculation (PBE-GGA) of a relaxed Pm2Ga2Pd3 crystal.

Unit cell a=9.863 b=9.863 c=7.224 alpha=90.00 beta=90.00 gamma=155.72
Atoms (fractional coordinates):
Pm 0.060 0.940 0.750
Pm 0.152 0.848 0.250
Pm 0.848 0.152 0.750
Pm 0.940 0.060 0.250
Ga 0.308 0.692 0.056
Ga 0.308 0.692 0.444
Ga 0.692 0.308 0.556
Ga 0.692 0.308 0.944
Pd 0.226 0.774 0.750
Pd 0.435 0.565 0.555
Pd 0.435 0.565 0.945
Pd 0.565 0.435 0.055
Pd 0.565 0.435 0.445
Pd 0.774 0.226 0.250

Properties
Total moment   0.00 μB per cell

=====

#B
The following is a DFT calculation (PBE-GGA) of a relaxed Pm2Ga2Pd3 crystal.

Unit cell a=5.736 b=5.736 c=7.180 alpha=111.35 beta=111.35 gamma=40.16
Atoms (fractional coordinates):
Pm 0.127 0.127 0.264
Pm 0.873 0.873 0.736
Ga 0.155 0.155 0.722
Ga 0.845 0.845 0.278
Pd 0.377 0.377 0.063
Pd 0.500 0.500 0.500
Pd 0.623 0.623 0.937

Properties
Total moment   0.00 μB per cell

=====

Order of stability, best first: #B, #A

=====

#A
The following is a DFT calculation (PBE-GGA) of a relaxed Pm3GaPd3 crystal.

Unit cell a=8.691 b=8.691 c=5.815 alpha=90.00 beta=90.00 gamma=120.00
Atoms (fractional coordinates):
Pm 0.048 0.362 0.250
Pm 0.314 0.952 0.250
Pm 0.362 0.314 0.750
Pm 0.638 0.686 0.250
Pm 0.686 0.048 0.750
Pm 0.952 0.638 0.750
Ga 0.333 0.667 0.750
Ga 0.667 0.333 0.250
Pd 0.052 0.363 0.750
Pd 0.311 0.948 0.750
Pd 0.363 0.311 0.250
Pd 0.637 0.689 0.750
Pd 0.689 0.052 0.250
Pd 0.948 0.637 0.250

Properties
Total moment   0.00 μB per cell

=====

#B
The following is a DFT calculation (PBE-GGA) of a relaxed Pm3GaPd3 crystal.

Unit cell a=5.801 b=5.801 c=15.329 alpha=106.74 beta=106.74 gamma=41.11
Atoms (fractional coordinates):
Pm 0.019 0.019 0.385
Pm 0.104 0.104 0.924
Pm 0.239 0.239 0.228
Pm 0.761 0.761 0.772
Pm 0.896 0.896 0.076
Pm 0.981 0.981 0.615
Ga 0.267 0.267 0.611
Ga 0.733 0.733 0.389
Pd 0.358 0.358 0.464
Pd 0.381 0.381 0.924
Pd 0.473 0.473 0.767
Pd 0.527 0.527 0.233
Pd 0.619 0.619 0.076
Pd 0.642 0.642 0.536

Properties
Total moment   0.00 μB per cell

=====

Order of stability, best first: #B, #A

=====

#A
The following is a DFT calculation (PBE-GGA) of a relaxed PmGa2Pd4 crystal.

Unit cell a=16.869 b=4.310 c=6.710 alpha=90.00 beta=90.00 gamma=90.00
Atoms (fractional coordinates):
Pm 0.139 0.250 0.078
Pm 0.361 0.750 0.578
Pm 0.639 0.250 0.422
Pm 0.861 0.750 0.922
Ga 0.062 0.750 0.736
Ga 0.205 0.250 0.623
Ga 0.295 0.750 0.123
Ga 0.438 0.250 0.236
Ga 0.562 0.750 0.764
Ga 0.705 0.250 0.877
Ga 0.795 0.750 0.377
Ga 0.938 0.250 0.264
Pd 0.022 0.750 0.139
Pd 0.059 0.250 0.488
Pd 0.170 0.750 0.399
Pd 0.212 0.750 0.818
Pd 0.288 0.250 0.318
Pd 0.330 0.250 0.899
Pd 0.441 0.750 0.988
Pd 0.478 0.250 0.639
Pd 0.522 0.750 0.361
Pd 0.559 0.250 0.012
Pd 0.670 0.750 0.101
Pd 0.712 0.750 0.682
Pd 0.788 0.250 0.182
Pd 0.830 0.250 0.601
Pd 0.941 0.750 0.512
Pd 0.978 0.250 0.861

Properties
Total moment   0.00 μB per cell

=====

#B
The following is a DFT calculation (PBE-GGA) of a relaxed PmGa2Pd4 crystal.

Unit cell a=7.881 b=7.881 c=3.991 alpha=90.00 beta=90.00 gamma=90.00
Atoms (fractional coordinates):
Pm 0.000 0.000 0.000
Pm 0.500 0.500 0.500
Ga 0.222 0.222 0.500
Ga 0.278 0.722 0.000
Ga 0.722 0.278 0.000
Ga 0.778 0.778 0.500
Pd 0.081 0.668 0.500
Pd 0.168 0.419 0.000
Pd 0.332 0.919 0.500
Pd 0.419 0.168 0.000
Pd 0.581 0.832 0.000
Pd 0.668 0.081 0.500
Pd 0.832 0.581 0.000
Pd 0.919 0.332 0.500

Properties
Total moment   0.00 μB per cell

=====

Order of stability, best first: #A, #B

=====

#A
The following is a DFT calculation (PBE-GGA) of a relaxed PmGa4Pd2 crystal.

Unit cell a=17.583 b=4.385 c=6.577 alpha=90.00 beta=90.00 gamma=90.00
Atoms (fractional coordinates):
Pm 0.140 0.250 0.008
Pm 0.360 0.750 0.508
Pm 0.640 0.250 0.492
Pm 0.860 0.750 0.992
Ga 0.037 0.750 0.833
Ga 0.074 0.250 0.486
Ga 0.182 0.750 0.318
Ga 0.190 0.750 0.721
Ga 0.310 0.250 0.221
Ga 0.318 0.250 0.818
Ga 0.426 0.750 0.986
Ga 0.463 0.250 0.333
Ga 0.537 0.750 0.667
Ga 0.574 0.250 0.014
Ga 0.682 0.750 0.182
Ga 0.690 0.750 0.779
Ga 0.810 0.250 0.279
Ga 0.818 0.250 0.682
Ga 0.926 0.750 0.514
Ga 0.963 0.250 0.167
Pd 0.034 0.750 0.251
Pd 0.218 0.250 0.524
Pd 0.282 0.750 0.024
Pd 0.466 0.250 0.751
Pd 0.534 0.750 0.249
Pd 0.718 0.250 0.976
Pd 0.782 0.750 0.476
Pd 0.966 0.250 0.749

Properties
Total moment   0.00 μB per cell

=====

#B
The following is a DFT calculation (PBE-GGA) of a relaxed PmGa4Pd2 crystal.

Unit cell a=7.848 b=7.848 c=4.234 alpha=90.00 beta=90.00 gamma=90.00
Atoms (fractional coordinates):
Pm 0.000 0.000 0.000
Pm 0.500 0.500 0.500
Ga 0.085 0.332 0.500
Ga 0.168 0.585 0.000
Ga 0.332 0.085 0.500
Ga 0.415 0.832 0.000
Ga 0.585 0.168 0.000
Ga 0.668 0.915 0.500
Ga 0.832 0.415 0.000
Ga 0.915 0.668 0.500
Pd 0.217 0.783 0.500
Pd 0.283 0.283 0.000
Pd 0.717 0.717 0.000
Pd 0.783 0.217 0.500

Properties
Total moment   0.00 μB per cell

=====

Order of stability, best first: #A, #B